PrDyYTm3 | GGA-PBE | optimized geometry

Calculated values
Formation energy, eV per atom: 0.028

abc: 5.0195 7.9420 10.0427
angles: 90.00 90.00 108.42
With the nearest neighbours (Å) after each atom.
Positions (direct):
Pr 0.5012 0.0024 0.7500  4 Dy 3.55, 6 Tm 3.55-3.58, 2 Y 3.58
Pr 0.4988 0.9976 0.2500  4 Dy 3.55, 6 Tm 3.55-3.58, 2 Y 3.58
Dy 0.0000 0.0000 0.5000  4 Pr 3.55, 6 Tm 3.56, 2 Y 3.57
Dy 0.0000 0.0000 0.0000  4 Pr 3.55, 6 Tm 3.56, 2 Y 3.57
Y 0.8314 0.6629 0.7500  8 Tm 3.52-3.55, 2 Dy 3.57, 2 Pr 3.58
Y 0.1686 0.3371 0.2500  8 Tm 3.52-3.55, 2 Dy 3.57, 2 Pr 3.58
Tm 0.6678 0.3355 0.5000  3 Y 3.52-3.55, 5 Tm 3.53-3.55, 2 Pr 3.55-3.58, 2 Dy 3.56
Tm 0.3322 0.6645 0.5000  3 Y 3.52-3.55, 5 Tm 3.53-3.55, 2 Pr 3.55-3.58, 2 Dy 3.56
Tm 0.3322 0.6645 0.0000  3 Y 3.52-3.55, 5 Tm 3.53-3.55, 2 Pr 3.55-3.58, 2 Dy 3.56
Tm 0.6678 0.3355 0.0000  3 Y 3.52-3.55, 5 Tm 3.53-3.55, 2 Pr 3.55-3.58, 2 Dy 3.56
Tm 0.1679 0.3357 0.7500  2 Y 3.52, 6 Tm 3.53-3.55, 2 Pr 3.55, 2 Dy 3.56
Tm 0.8321 0.6643 0.2500  2 Y 3.52, 6 Tm 3.53-3.55, 2 Pr 3.55, 2 Dy 3.56